Material: Ga2CoS4
Method: DFT, GGA-PBE
State: optimized geometry

DFT total energy (eV/cell): -132.4
Magnetization (μB/f.u.): 0.014

a = 7.047 Å, b = 7.047 Å, c = 10.014 Å
α = 90.00°, β = 90.00°, γ = 90.00°
Fractional positions:
Ga: 0.000 0.258 0.000
Ga: 0.000 0.742 0.500
Ga: 0.255 0.255 0.375
Ga: 0.255 0.745 0.125
Ga: 0.258 0.000 0.750
Ga: 0.742 0.000 0.250
Ga: 0.745 0.255 0.625
Ga: 0.745 0.745 0.875
Co: 0.252 0.500 0.750
Co: 0.500 0.252 0.000
Co: 0.500 0.748 0.500
Co: 0.748 0.500 0.250
S: 0.028 0.265 0.753
S: 0.028 0.735 0.747
S: 0.265 0.028 0.997
S: 0.265 0.972 0.503
S: 0.267 0.481 0.979
S: 0.267 0.519 0.521
S: 0.481 0.267 0.771
S: 0.481 0.733 0.729
S: 0.519 0.267 0.229
S: 0.519 0.733 0.271
S: 0.733 0.481 0.021
S: 0.733 0.519 0.479
S: 0.735 0.028 0.003
S: 0.735 0.972 0.497
S: 0.972 0.265 0.247
S: 0.972 0.735 0.253

Material: BiOsAu2
Method: DFT, GGA-PBE
State: optimized geometry

DFT total energy (eV/cell): -19.0
Magnetization (μB/f.u.): 0.012

a = 4.771 Å, b = 4.771 Å, c = 4.771 Å
α = 60.00°, β = 60.00°, γ = 60.00°
Fractional positions:
Bi: 0.000 0.000 0.000
Os: 0.250 0.250 0.250
Au: 0.500 0.500 0.500
Au: 0.750 0.750 0.750

- What is the formula in the second record?
  BiOsAu2